The following is a PBE calculation of crystalline AgRu2W at its relaxed geometry, from the Alexandria database.

Properties
SG: No. 35
D(E_F) in states/eV/cell: 5.4
Formation enthalpy at 0 K in meV per atom: 524

Unit cell a=2.704 b=2.704 c=9.528 alpha=90.00 beta=90.00 gamma=115.56
Atoms (fractional coordinates):
Ag: 0.000 0.000 0.000
Ru: 0.000 0.000 0.504
Ru: 0.500 0.500 0.739
W: 0.500 0.500 0.268